Below is crystalline SrGdHg2 at its relaxed geometry, with properties calculated at the GGA-PBE level.

Values from the calculation:
The space group is P4/mmm (123). The value obtained for the energy of formation from the pure elements is -0.5140 eV/atom. The value obtained for the calculated total energy is -0.16925 Ha/atom. As for the magnetic moment: 7.24 Bohr magnetons per cell.

Cell: 3.8603 3.8603 7.7990 Å, 90.00 90.00 90.00°
With the nearest neighbours (Å) after each atom.
Fractional coordinates of all 4 atoms:
Sr  0.0000  0.0000  0.0000  8 Hg 3.48, 4 Sr 3.86
Gd  0.0000  0.0000  0.5000  8 Hg 3.24
Hg  0.5000  0.5000  0.2758  4 Gd 3.24, 4 Sr 3.48, 1 Hg 3.50
Hg  0.5000  0.5000  0.7242  4 Gd 3.24, 4 Sr 3.48, 1 Hg 3.50